No. 1
## PmPu2TeO4 (PBE)

Data for PmPu2TeO4 after structural relaxation.

The structure belongs to space group P4/mmm (No. 123); the cell edges are 3.9502, 3.9502 and 9.1217 Å and the angles 90.00°, 90.00° and 90.00°. The asymmetric unit holds Pm at (0.0000, 0.0000, 0.0000), Pu at (0.5000, 0.5000, 0.2739), Te at (0.0000, 0.0000, 0.5000) and O at (0.0000, 0.5000, 0.1589).

Its total energy is -79.02 eV per formula unit. The density of states at the Fermi level comes out at 1.618 states/eV per atom. As for the crystal system: tetragonal. The value obtained for the mass density is 9.6 g cm⁻³.

No. 2
## CeSmSi3 (PBE)

Data for CeSmSi3 after structural relaxation.

The structure belongs to space group Cmcm (No. 63); the cell edges are 4.2805, 24.7424 and 3.9872 Å and the angles 90.00°, 90.00° and 90.00°. The asymmetric unit holds Ce at (0.0000, 0.0693, 0.2500), Sm at (0.0000, 0.2018, 0.7500), Si at (0.0000, 0.3253, 0.7500), Si at (0.0000, 0.3824, 0.2500) and Si at (0.0000, 0.4760, 0.2500).

Its total energy is -30.49 eV per formula unit. The density of states at the Fermi level comes out at 0.972 states/eV per atom. As for the crystal system: orthorhombic. The value obtained for the mass density is 5.9 g cm⁻³.

No. 3
## Nd3ZnAg2 (PBE)

Data for Nd3ZnAg2 after structural relaxation.

The structure belongs to space group P-3m1 (No. 164); the cell edges are 5.2832, 5.2832 and 12.9588 Å and the angles 90.00°, 90.00° and 120.00°. The asymmetric unit holds Nd at (0.0000, 0.0000, 0.2475), Nd at (0.3333, 0.6667, 0.4148), Nd at (0.3333, 0.6667, 0.9177), Zn at (0.3333, 0.6667, 0.1677), Ag at (0.0000, 0.0000, 0.0000), Ag at (0.0000, 0.0000, 0.5000) and Ag at (0.3333, 0.6667, 0.6711).

The density of states at the Fermi level comes out at 0.991 states/eV per atom. As for the crystal system: trigonal. The value obtained for the mass density is 7.6 g cm⁻³. As for the formation enthalpy at 0 K: -1.6 eV per formula unit.

No. 4
## Al2TlFeH (PBE)

Data for Al2TlFeH after structural relaxation.

The structure belongs to space group P4/mmm (No. 123); the cell edges are 5.3252, 5.3252 and 5.1133 Å and the angles 90.00°, 90.00° and 90.00°. The asymmetric unit holds Al at (0.0000, 0.5000, 0.0000), Tl at (0.0000, 0.0000, 0.0000), Fe at (0.0000, 0.0000, 0.5000) and H at (0.5000, 0.5000, 0.5000).

Its total energy is -13.83 eV per formula unit. The density of states at the Fermi level comes out at 0.860 states/eV per atom. As for the crystal system: tetragonal. The value obtained for the mass density is 3.6 g cm⁻³.

No. 5
## LaCd2Rh2 (PBE)

Data for LaCd2Rh2 after structural relaxation.

The structure belongs to space group I4/mmm (No. 139); the cell edges are 4.1984, 4.1984 and 12.3432 Å and the angles 90.00°, 90.00° and 90.00°. The asymmetric unit holds La at (0.0000, 0.0000, 0.0000), Cd at (0.0000, 0.5000, 0.2500) and Rh at (0.0000, 0.0000, 0.3986).

Its polymorph energy (0 for the lowest one) is 0 meV per atom. The density of states at the Fermi level comes out at 0.527 states/eV per atom. As for the crystal system: tetragonal. The value obtained for the mass density is 8.7 g cm⁻³. As for the formation enthalpy at 0 K: -1.9 eV per formula unit.

No. 6
## Pa2Si3Tc (PBE)

Data for Pa2Si3Tc after structural relaxation.

The structure belongs to space group Fmmm (No. 69); the cell edges are 7.7821, 8.2888 and 14.1259 Å and the angles 90.00°, 90.00° and 90.00°. The asymmetric unit holds Pa at (0.2392, 0.0000, 0.0000), Pa at (0.2500, 0.2500, 0.2500), Si at (0.0000, 0.0000, 0.3352), Si at (0.0000, 0.2430, 0.4173) and Tc at (0.0000, 0.0000, 0.1645).

Its total energy is -49.23 eV per formula unit. The density of states at the Fermi level comes out at 0.974 states/eV per atom. As for the crystal system: orthorhombic. The value obtained for the mass density is 9.4 g cm⁻³.

No. 7
## Li2NdMg5 (PBE)

Data for Li2NdMg5 after structural relaxation.

The structure belongs to space group Immm (No. 71); the cell edges are 3.3043, 9.4652 and 12.0347 Å and the angles 90.00°, 90.00° and 90.00°. The asymmetric unit holds Li at (0.0000, 0.0000, 0.2492), Nd at (0.0000, 0.5000, 0.5000), Mg at (0.0000, 0.0000, 0.5000) and Mg at (0.0000, 0.2742, 0.1363).

The density of states at the Fermi level comes out at 0.562 states/eV per atom. As for the crystal system: orthorhombic. The value obtained for the mass density is 2.5 g cm⁻³. As for the formation enthalpy at 0 K: -0.2 eV per formula unit.

No. 8
## KAcHg6 (PBE)

Data for KAcHg6 after structural relaxation.

The structure belongs to space group Pmm2 (No. 25); the cell edges are 5.4511, 7.1811 and 5.8887 Å and the angles 90.00°, 90.00° and 90.00°. The asymmetric unit holds K at (0.0000, 0.0000, 0.0000), Ac at (0.5000, 0.5000, 0.3056), Hg at (0.0000, 0.2523, 0.4901), Hg at (0.0000, 0.5000, 0.9552), Hg at (0.5000, 0.0000, 0.3754) and Hg at (0.5000, 0.2543, 0.8180).

Its polymorph energy (0 for the lowest one) is 3 meV per atom. The density of states at the Fermi level comes out at 0.480 states/eV per atom. As for the crystal system: orthorhombic. The value obtained for the mass density is 10.6 g cm⁻³. As for the formation enthalpy at 0 K: -2.4 eV per formula unit.

No. 9
## PmTl2ClO2 (PBE)

Data for PmTl2ClO2 after structural relaxation.

The structure belongs to space group P4/mmm (No. 123); the cell edges are 4.6501, 4.6501 and 6.4067 Å and the angles 90.00°, 90.00° and 90.00°. The asymmetric unit holds Pm at (0.0000, 0.0000, 0.0000), Tl at (0.5000, 0.5000, 0.2520), Cl at (0.0000, 0.0000, 0.5000) and O at (0.0000, 0.5000, 0.0000).

Its total energy is -31.40 eV per formula unit. As for the crystal system: tetragonal. The value obtained for the mass density is 7.4 g cm⁻³.

No. 10
## TaSi2Ru (PBE)

Data for TaSi2Ru after structural relaxation.

The structure belongs to space group P2/m (No. 10); the cell edges are 4.3888, 2.8918 and 5.0157 Å and the angles 90.00°, 112.59° and 90.00°. The asymmetric unit holds Ta at (0.0000, 0.0000, 0.0000), Si at (0.5000, 0.0000, 0.5000), Si at (0.5000, 0.5000, 0.0000) and Ru at (0.0000, 0.5000, 0.5000).

Its total energy is -32.85 eV per formula unit. The density of states at the Fermi level comes out at 0.618 states/eV per atom. As for the crystal system: monoclinic. The value obtained for the mass density is 9.6 g cm⁻³.

No. 11
## CaOs2Se (PBE)

Data for CaOs2Se after structural relaxation.

The structure belongs to space group I4/mmm (No. 139); the cell edges are 3.7551, 3.7551 and 10.3044 Å and the angles 90.00°, 90.00° and 90.00°. The asymmetric unit holds Ca at (0.0000, 0.0000, 0.0000), Os at (0.0000, 0.5000, 0.2500) and Se at (0.0000, 0.0000, 0.5000).

Its total energy is -25.89 eV per formula unit. The density of states at the Fermi level comes out at 1.083 states/eV per atom. As for the crystal system: tetragonal. The value obtained for the mass density is 11.4 g cm⁻³.

No. 12
## CeThCuNi (PBE)

Data for CeThCuNi after structural relaxation.

The structure belongs to space group F-43m (No. 216); the cell edges are 6.9932, 6.9932 and 6.9932 Å and the angles 90.00°, 90.00° and 90.00°. The asymmetric unit holds Ce at (0.0000, 0.0000, 0.0000), Th at (0.0000, 0.0000, 0.5000), Cu at (0.2500, 0.2500, 0.2500) and Ni at (0.2500, 0.2500, 0.7500).

The density of states at the Fermi level comes out at 1.602 states/eV per atom. As for the crystal system: cubic. The value obtained for the mass density is 9.6 g cm⁻³. As for the formation enthalpy at 0 K: -0.5 eV per formula unit.

No. 13
## BaZn2BiIr (PBE)

Data for BaZn2BiIr after structural relaxation.

The structure belongs to space group P4/mmm (No. 123); the cell edges are 4.9819, 4.9819 and 5.4124 Å and the angles 90.00°, 90.00° and 90.00°. The asymmetric unit holds Ba at (0.0000, 0.0000, 0.0000), Zn at (0.0000, 0.5000, 0.5000), Bi at (0.5000, 0.5000, 0.0000) and Ir at (0.5000, 0.5000, 0.5000).

The density of states at the Fermi level comes out at 0.659 states/eV per atom. As for the crystal system: tetragonal. The value obtained for the mass density is 8.3 g cm⁻³. As for the formation enthalpy at 0 K: -1.1 eV per formula unit.

No. 14
## Er2TaTl (PBE)

Data for Er2TaTl after structural relaxation.

The structure belongs to space group R-3m (No. 166, hexagonal axes); the cell edges are 3.2290, 3.2290 and 34.1716 Å and the angles 90.00°, 90.00° and 120.00°. The asymmetric unit holds Er at (0.0000, 0.0000, 0.0863), Ta at (0.0000, 0.0000, 0.0000) and Tl at (0.0000, 0.0000, 0.5000).

The density of states at the Fermi level comes out at 1.232 states/eV per atom. As for the crystal system: trigonal. The value obtained for the mass density is 11.6 g cm⁻³. As for the formation enthalpy at 0 K: 2.1 eV per formula unit.

No. 15
## NdGaHg (PBE)

Data for NdGaHg after structural relaxation.

The structure belongs to space group F-43m (No. 216); the cell edges are 6.7972, 6.7972 and 6.7972 Å and the angles 90.00°, 90.00° and 90.00°. The asymmetric unit holds Nd at (0.0000, 0.0000, 0.0000), Ga at (0.2500, 0.2500, 0.7500) and Hg at (0.0000, 0.0000, 0.5000).

Its polymorph energy (0 for the lowest one) is 93 meV per atom. The density of states at the Fermi level comes out at 0.263 states/eV per atom. As for the crystal system: cubic. The value obtained for the mass density is 8.8 g cm⁻³. As for the formation enthalpy at 0 K: -1.3 eV per formula unit.

No. 16
## V2HgGe (PBE)

Data for V2HgGe after structural relaxation.

The structure belongs to space group I-42d (No. 122); the cell edges are 3.8436, 3.8436 and 18.9059 Å and the angles 90.00°, 90.00° and 90.00°. The asymmetric unit holds V at (0.2192, 0.2500, 0.1250), Hg at (0.0000, 0.0000, 0.5000) and Ge at (0.0000, 0.0000, 0.0000).

The density of states at the Fermi level comes out at 0.727 states/eV per atom. As for the crystal system: tetragonal. The value obtained for the mass density is 8.9 g cm⁻³. As for the formation enthalpy at 0 K: 2.4 eV per formula unit.